No. 1
An optimized crystal structure of Tc2PbBr. Source: the Alexandria database, functional GGA-PBEsol.

POSCAR file:
```
Tc2PbBr
1.0
-0.1951 -2.4376 1.7688
4.5161 -0.5458 -0.2540
0.6059 3.0358 4.2505
Pb Tc Br
1 2 1
Direct
0.0000 0.5000 0.5000
0.0000 0.0000 0.0000
0.5000 0.0000 0.5000
0.5000 0.5000 0.0000
```

Values from the calculation:
Space group: No. 47
Energy above the lowest structure with this stoichiometry: 0.725 eV/atom
Raw formation energy: 97.7 kJ per mole of atoms
Total magnetic moment: 1.4 μB per cell

=====

No. 2
An optimized crystal structure of TcPbBr. Source: the Alexandria database, functional GGA-PBEsol.

POSCAR file:
```
TcPbBr
1.0
-1.3842 2.9102 -0.6445
0.0083 -2.3585 -2.2886
-6.2902 -2.4401 2.4918
Pb Tc Br
1 1 1
Direct
0.6667 0.3333 0.6160
0.3333 0.6667 0.3015
0.0000 0.0000 0.0825
```

Values from the calculation:
Space group: No. 156
Energy above the lowest structure with this stoichiometry: 0.000 eV/atom
Raw formation energy: 36.4 kJ per mole of atoms
Total magnetic moment: 0.0 μB per cell

=====

No. 3
An optimized crystal structure of Tc2PbBr. Source: the Alexandria database, functional GGA-PBEsol.

POSCAR file:
```
Tc2PbBr
1.0
3.0131 0.0000 0.0000
0.0000 3.0131 0.0000
0.0000 0.0000 8.6834
Pb Tc Br
1 2 1
Direct
0.5000 0.5000 0.7985
0.0000 0.0000 0.0528
0.5000 0.5000 0.2185
0.0000 0.0000 0.4302
```

Values from the calculation:
Space group: No. 99
Energy above the lowest structure with this stoichiometry: 0.000 eV/atom
Raw formation energy: 27.7 kJ per mole of atoms
Total magnetic moment: 0.0 μB per cell

=====

No. 4
An optimized crystal structure of TcPbBr. Source: the Alexandria database, functional GGA-PBEsol.

POSCAR file:
```
TcPbBr
1.0
-1.2489 2.8184 -0.4658
-3.0525 0.2108 -0.9739
-2.9291 1.5882 7.0290
Pb Tc Br
1 1 1
Direct
0.3138 0.0000 0.3724
0.6551 0.0000 0.6897
0.0311 0.0000 0.9379
```

Values from the calculation:
Space group: No. 42
Energy above the lowest structure with this stoichiometry: 0.188 eV/atom
Raw formation energy: 54.5 kJ per mole of atoms
Total magnetic moment: 0.0 μB per cell

=====

No. 5
An optimized crystal structure of Tc2PbBr. Source: the Alexandria database, functional GGA-PBEsol.

POSCAR file:
```
Tc2PbBr
1.0
-2.6422 1.2450 0.9631
-0.0617 -2.2326 -2.1937
-0.6001 -6.0473 6.1714
Pb Tc Br
1 2 1
Direct
0.5000 0.0000 0.0000
0.0000 0.0000 0.7405
0.0000 0.0000 0.2595
0.5000 0.0000 0.5000
```

Values from the calculation:
Space group: No. 65
Energy above the lowest structure with this stoichiometry: 0.749 eV/atom
Raw formation energy: 100.0 kJ per mole of atoms
Total magnetic moment: 0.0 μB per cell

=====

No. 6
An optimized crystal structure of TcPbBr. Source: the Alexandria database, functional GGA-PBEsol.

POSCAR file:
```
TcPbBr
1.0
3.3138 0.0000 0.0000
0.0000 4.5510 0.0000
0.0000 -2.2755 3.9413
Pb Tc Br
1 1 1
Direct
0.0000 0.3333 0.6667
0.5000 0.6667 0.3333
0.5000 0.0000 0.0000
```

Values from the calculation:
Space group: No. 187
Energy above the lowest structure with this stoichiometry: 0.269 eV/atom
Raw formation energy: 62.3 kJ per mole of atoms
Total magnetic moment: 0.0 μB per cell

=====

No. 7
An optimized crystal structure of TePbBr2. Source: the Alexandria database, functional GGA-PBEsol.

POSCAR file:
```
TePbBr2
1.0
-0.1666 2.2126 4.8868
-4.5271 -0.1852 2.8766
-0.2875 -3.1264 4.3529
Pb Te Br
1 1 2
Direct
0.0000 0.0000 0.0000
0.5000 0.5000 0.5000
0.2500 0.2500 0.2500
0.7500 0.7500 0.7500
```

Values from the calculation:
Space group: No. 225
Energy above the lowest structure with this stoichiometry: 0.108 eV/atom
Raw formation energy: -7.4 kJ per mole of atoms
Total magnetic moment: 0.0 μB per cell

=====

No. 8
An optimized crystal structure of Te2PbBr. Source: the Alexandria database, functional GGA-PBEsol.

POSCAR file:
```
Te2PbBr
1.0
-3.3990 2.0911 -0.5354
-1.8945 -2.2157 3.3730
2.2517 4.7895 4.4108
Pb Te Br
1 2 1
Direct
0.5000 0.5000 0.5000
0.0000 0.0000 0.7023
0.0000 0.0000 0.2977
0.5000 0.5000 0.0000
```

Values from the calculation:
Space group: No. 47
Energy above the lowest structure with this stoichiometry: 0.161 eV/atom
Raw formation energy: -9.1 kJ per mole of atoms
Total magnetic moment: 0.0 μB per cell